# 1
# BaZnNiHg2 PBE-GGA optimized geometry
data_BaZnNiHg2
_chemical_formula_sum 'Ba1 Zn1 Ni1 Hg2'
_symmetry_space_group_name_H-M 'P 4/m m m'
_symmetry_Int_Tables_number 123
_symmetry_space_group_name_Hall '-P 4 2'
_cell_length_a 5.167
_cell_length_b 5.167
_cell_length_c 4.784
_cell_angle_alpha 90.00
_cell_angle_beta 90.00
_cell_angle_gamma 90.00
loop_
_atom_site_label
_atom_site_type_symbol
_atom_site_fract_x
_atom_site_fract_y
_atom_site_fract_z
Ba1 Ba 0.000 0.000 0.000
Zn1 Zn 0.500 0.500 0.000
Ni1 Ni 0.500 0.500 0.500
Hg1 Hg 0.000 0.500 0.500
# **Calculated total energy**: -10.76 eV per formula unit
# **Formation energy from the elements**: -235 meV per atom

***

# 2
# Ba2NpHg2O6 PBE-GGA optimized geometry
data_Ba2NpHg2O6
_chemical_formula_sum 'Ba4 Np2 Hg4 O12'
_symmetry_space_group_name_H-M 'C 1 2/m 1'
_symmetry_Int_Tables_number 12
_symmetry_space_group_name_Hall '-C 2y'
_cell_length_a 6.785
_cell_length_b 11.402
_cell_length_c 7.081
_cell_angle_alpha 90.00
_cell_angle_beta 113.25
_cell_angle_gamma 90.00
loop_
_atom_site_label
_atom_site_type_symbol
_atom_site_fract_x
_atom_site_fract_y
_atom_site_fract_z
Ba1 Ba 0.000 0.166 0.000
Np1 Np 0.000 0.500 0.000
Hg1 Hg 0.000 0.343 0.500
O1 O 0.179 0.500 0.810
O2 O 0.199 0.371 0.149
# **Calculated total energy**: -69.29 eV per formula unit
# **Formation energy (no corrections)**: -2.014 eV per atom